Record 1
## Li2ZnCr2 (meta-GGA SCAN)

Data for a PBEsol-optimized structure of Li2ZnCr2.

**ΔE_f**: 2.784 eV per formula unit
**Calculated volume**: 73 Å³/cell
**Space-group type**: I4/mmm

Cell and atoms, written as extended XYZ:
```
5
Lattice="-1.548 1.548 7.576 1.548 -1.548 7.576 1.548 1.548 -7.576" Properties=species:S:1:pos:R:3 pbc="T T T"
Li 0.000 0.000 1.476
Li 0.000 0.000 13.677
Zn 0.000 0.000 7.576
Cr 1.548 0.000 3.788
Cr 0.000 1.548 3.788
```

Record 2
## K2Pb (meta-GGA SCAN)

Data for a PBEsol-optimized structure of K2Pb.

**ΔE_f**: -0.100 eV per formula unit
**Calculated volume**: 152 Å³/cell
**Space-group type**: Fm-3m

Cell and atoms, written as extended XYZ:
```
3
Lattice="0.000 4.240 4.240 4.240 0.000 4.240 4.240 4.240 0.000" Properties=species:S:1:pos:R:3 pbc="T T T"
K 2.120 2.120 2.120
K 6.360 6.360 6.360
Pb 0.000 0.000 0.000
```

Record 3
## SrSc3Re (meta-GGA SCAN)

Data for a PBEsol-optimized structure of SrSc3Re.

**ΔE_f**: 0.334 eV per formula unit
**Calculated volume**: 136 Å³/cell
**Space-group type**: Pm-3m

Cell and atoms, written as extended XYZ:
```
5
Lattice="5.143 0.000 0.000 0.000 5.143 0.000 0.000 0.000 5.143" Properties=species:S:1:pos:R:3 pbc="T T T"
Sr 0.000 0.000 0.000
Sc 0.000 2.571 2.571
Sc 2.571 0.000 2.571
Sc 2.571 2.571 0.000
Re 2.571 2.571 2.571
```

Record 4
## YMgP2 (meta-GGA SCAN)

Data for a PBEsol-optimized structure of YMgP2.

**ΔE_f**: -3.964 eV per formula unit
**Calculated volume**: 84 Å³/cell
**Space-group type**: P4/mmm

Cell and atoms, written as extended XYZ:
```
4
Lattice="3.893 0.000 0.000 0.000 3.893 0.000 0.000 0.000 5.521" Properties=species:S:1:pos:R:3 pbc="T T T"
Y 0.000 0.000 0.000
Mg 1.947 1.947 2.761
P 0.000 0.000 2.761
P 1.947 1.947 0.000
```

Record 5
## Sr2AlIn (meta-GGA SCAN)

Data for a PBEsol-optimized structure of Sr2AlIn.

**ΔE_f**: -1.236 eV per formula unit
**Calculated volume**: 122 Å³/cell
**Space-group type**: Cm

Cell and atoms, written as extended XYZ:
```
4
Lattice="6.281 -1.957 0.000 6.281 1.957 0.000 -2.420 0.000 4.972" Properties=species:S:1:pos:R:3 pbc="T T T"
Sr 0.000 0.000 0.000
Sr 0.844 0.000 3.488
Al 8.904 0.000 1.277
In 4.412 0.000 2.165
```

Record 6
## HfBe3Ni (meta-GGA SCAN)

Data for a PBEsol-optimized structure of HfBe3Ni.

**ΔE_f**: -0.305 eV per formula unit
**Calculated volume**: 59 Å³/cell
**Space-group type**: Pm-3m

Cell and atoms, written as extended XYZ:
```
5
Lattice="3.890 0.000 0.000 0.000 3.890 0.000 0.000 0.000 3.890" Properties=species:S:1:pos:R:3 pbc="T T T"
Hf 0.000 0.000 0.000
Be 0.000 1.945 1.945
Be 1.945 0.000 1.945
Be 1.945 1.945 0.000
Ni 1.945 1.945 1.945
```

Record 7
## SnS2F (meta-GGA SCAN)

Data for a PBEsol-optimized structure of SnS2F.

**Calculated volume**: 84 Å³/cell
**Formation energy from raw total energies**: -31.90 kJ per mole of atoms
**Space-group type**: R-3m

Cell and atoms, written as extended XYZ:
```
4
Lattice="1.830 1.057 7.245 -1.830 1.057 7.245 0.000 -2.114 7.245" Properties=species:S:1:pos:R:3 pbc="T T T"
Sn 0.000 0.000 0.000
S 0.000 0.000 8.768
S 0.000 0.000 12.965
F 0.000 0.000 10.867
```

Record 8
## TlIn2Au2 (meta-GGA SCAN)

Data for a PBEsol-optimized structure of TlIn2Au2.

**ΔE_f**: -0.746 eV per formula unit
**Calculated volume**: 119 Å³/cell
**Space-group type**: I4/mmm

Cell and atoms, written as extended XYZ:
```
5
Lattice="-2.233 2.233 5.975 2.233 -2.233 5.975 2.233 2.233 -5.975" Properties=species:S:1:pos:R:3 pbc="T T T"
Tl 0.000 0.000 0.000
In 2.233 0.000 2.988
In 0.000 2.233 2.988
Au 0.000 0.000 4.640
Au 0.000 0.000 7.310
```

Record 9
## Nb2SnC (meta-GGA SCAN)

Data for a PBEsol-optimized structure of Nb2SnC.

**ΔE_f**: 4.033 eV per formula unit
**Calculated volume**: 63 Å³/cell
**Space-group type**: Fm-3m

Cell and atoms, written as extended XYZ:
```
4
Lattice="0.000 3.150 3.150 3.150 0.000 3.150 3.150 3.150 0.000" Properties=species:S:1:pos:R:3 pbc="T T T"
Nb 1.575 1.575 1.575
Nb 4.725 4.725 4.725
Sn 0.000 0.000 0.000
C 3.150 3.150 3.150
```

Record 10
## FeRu2Pb (meta-GGA SCAN)

Data for a PBEsol-optimized structure of FeRu2Pb.

**ΔE_f**: 2.132 eV per formula unit
**Calculated volume**: 59 Å³/cell
**Space-group type**: I-4m2

Cell and atoms, written as extended XYZ:
```
4
Lattice="-1.940 1.940 3.938 1.940 -1.940 3.938 1.940 1.940 -3.938" Properties=species:S:1:pos:R:3 pbc="T T T"
Fe 0.000 0.000 0.000
Ru 1.940 0.000 1.969
Ru 0.000 0.000 3.938
Pb 0.000 1.940 1.969
```

Record 11
## Ta2CrP (meta-GGA SCAN)

Data for a PBEsol-optimized structure of Ta2CrP.

**ΔE_f**: 0.004 eV per formula unit
**Calculated volume**: 62 Å³/cell
**Space-group type**: R3m

Cell and atoms, written as extended XYZ:
```
4
Lattice="1.574 0.909 7.190 -1.574 0.909 7.190 0.000 -1.818 7.190" Properties=species:S:1:pos:R:3 pbc="T T T"
Ta 0.000 0.000 0.000
Ta 0.000 0.000 4.990
Cr 0.000 0.000 10.209
P 0.000 0.000 16.061
```

Record 12
## CrRu2Pb (meta-GGA SCAN)

Data for a PBEsol-optimized structure of CrRu2Pb.

**ΔE_f**: 1.854 eV per formula unit
**Calculated volume**: 61 Å³/cell
**Space-group type**: Cm

Cell and atoms, written as extended XYZ:
```
4
Lattice="4.589 -1.509 0.000 4.589 1.509 0.000 -1.426 0.000 4.440" Properties=species:S:1:pos:R:3 pbc="T T T"
Cr 0.000 0.000 0.000
Ru 3.887 0.000 1.858
Ru 6.496 0.000 0.492
Pb 1.375 0.000 2.841
```

The evaluated electronic total energy for the records listed, in turn: -52.28, -92.54, -135.75, -57.58, -86.92, -92.21, -60.04, -278.19, -108.25, -161.43, -161.95, -161.96 eV/f.u..